A relaxed Li3Zn12Cd5 crystal, computed with PBE.

Values from the calculation:
Symmetry: Ia-3d (230)
Crystal system: cubic
N(E_F): 35.91 states/eV per cell
Total moment: 0.00 μB per atom
VASP energy: -82.68 eV for the cell shown
Formation energy: 0.25 eV/atom

a = 13.440 Å, b = 13.440 Å, c = 13.440 Å
α = 109.47°, β = 109.47°, γ = 109.47°
Sites, in units of the cell vectors:
Li1 0.125 0.250 0.375
Li2 0.125 0.375 0.750
Li3 0.250 0.375 0.125
Li4 0.250 0.875 0.625
Li5 0.375 0.125 0.250
Li6 0.375 0.750 0.125
Li7 0.625 0.250 0.875
Li8 0.625 0.875 0.750
Li9 0.750 0.125 0.375
Li10 0.750 0.625 0.875
Li11 0.875 0.625 0.250
Li12 0.875 0.750 0.625
Zn1 0.074 0.654 0.420
Zn2 0.074 0.920 0.654
Zn3 0.080 0.234 0.154
Zn4 0.080 0.346 0.926
Zn5 0.080 0.734 0.654
Zn6 0.080 0.846 0.426
Zn7 0.154 0.080 0.234
Zn8 0.154 0.234 0.580
Zn9 0.154 0.420 0.574
Zn10 0.154 0.574 0.920
Zn11 0.234 0.154 0.080
Zn12 0.234 0.580 0.154
Zn13 0.266 0.346 0.920
Zn14 0.266 0.420 0.346
Zn15 0.346 0.266 0.420
Zn16 0.346 0.580 0.926
Zn17 0.346 0.920 0.266
Zn18 0.346 0.926 0.080
Zn19 0.420 0.074 0.654
Zn20 0.420 0.346 0.266
Zn21 0.420 0.574 0.154
Zn22 0.420 0.846 0.766
Zn23 0.426 0.080 0.846
Zn24 0.426 0.846 0.580
Zn25 0.574 0.154 0.420
Zn26 0.574 0.920 0.154
Zn27 0.580 0.154 0.234
Zn28 0.580 0.426 0.846
Zn29 0.580 0.654 0.734
Zn30 0.580 0.926 0.346
Zn31 0.654 0.074 0.920
Zn32 0.654 0.080 0.734
Zn33 0.654 0.420 0.074
Zn34 0.654 0.734 0.580
Zn35 0.734 0.580 0.654
Zn36 0.734 0.654 0.080
Zn37 0.766 0.420 0.846
Zn38 0.766 0.846 0.920
Zn39 0.846 0.426 0.080
Zn40 0.846 0.580 0.426
Zn41 0.846 0.766 0.420
Zn42 0.846 0.920 0.766
Zn43 0.920 0.154 0.574
Zn44 0.920 0.266 0.346
Zn45 0.920 0.654 0.074
Zn46 0.920 0.766 0.846
Zn47 0.926 0.080 0.346
Zn48 0.926 0.346 0.580
Cd1 0.000 0.000 0.000
Cd2 0.000 0.000 0.500
Cd3 0.000 0.500 0.000
Cd4 0.000 0.500 0.500
Cd5 0.125 0.750 0.875
Cd6 0.125 0.875 0.250
Cd7 0.250 0.125 0.875
Cd8 0.250 0.625 0.375
Cd9 0.375 0.250 0.625
Cd10 0.375 0.625 0.750
Cd11 0.500 0.000 0.000
Cd12 0.500 0.000 0.500
Cd13 0.500 0.500 0.000
Cd14 0.500 0.500 0.500
Cd15 0.625 0.375 0.250
Cd16 0.625 0.750 0.375
Cd17 0.750 0.375 0.625
Cd18 0.750 0.875 0.125
Cd19 0.875 0.125 0.750
Cd20 0.875 0.250 0.125